Here is an optimized crystal structure of CsHf3C from Alexandria via LeMat-Bulk. Energies are from PBE.

Computed properties:
Total moment in μB per cell: 0.00
Total energy in eV per atom: -4.337
Distance to the lowest polymorph of the same formula in meV/atom: 2845
Formation energy in eV per atom: 3.651

a b c (Å): 5.212 5.212 5.212
angles (deg): 90.00 90.00 90.00
Fractional coordinates of all 5 atoms:
Cs 0.000 0.000 0.000
Hf 0.000 0.000 0.500
Hf 0.000 0.500 0.000
Hf 0.500 0.000 0.000
C 0.500 0.500 0.500